1.
VASP calculation (PBE) on crystalline RbBaHgF6 at its relaxed geometry.

Cell lengths 6.7867, 6.7867, 9.6346 Å; angles 90.00, 90.00, 120.00 degrees
Last column: nearest neighbours and their distance in Å.
Atoms (fractional coordinates):
1 F 0.9561 0.3437 0.1334  1 Hg 2.23
2 F 0.3876 0.0439 0.1334  1 Hg 2.23
3 F 0.3876 0.3437 0.3666  1 Hg 2.23
4 F 0.0439 0.6563 0.8666  1 Hg 2.23
5 F 0.6563 0.6124 0.1334  1 Hg 2.23
6 F 0.3437 0.3876 0.8666  1 Hg 2.23
7 F 0.6124 0.6563 0.6334  1 Hg 2.23
8 F 0.0439 0.3876 0.6334  1 Hg 2.23
9 F 0.6124 0.9561 0.8666  1 Hg 2.23
10 F 0.3437 0.9561 0.6334  1 Hg 2.23
11 F 0.6563 0.0439 0.3666  1 Hg 2.23
12 F 0.9561 0.6124 0.3666  1 Hg 2.23
13 Hg 0.6667 0.3333 0.2500  6 F 2.23
14 Hg 0.3333 0.6667 0.7500  6 F 2.23
15 Ba 0.6667 0.3333 0.7500  6 F 2.65
16 Ba 0.3333 0.6667 0.2500  6 F 2.65
17 Rb 0.0000 0.0000 0.5000  6 F 2.81
18 Rb 0.0000 0.0000 0.0000  6 F 2.81

Computed properties:
The calculation puts the uncorrected formation energy at -2.37 eV per atom. The calculation puts the density of states at the Fermi level at 0.718 states/eV/atom. The calculation puts the total energy at -3.97 eV/atom.

---

2.
VASP calculation (PBE) on crystalline Nd6Si2TeBr3 at its relaxed geometry.

Cell lengths 4.3354, 8.8187, 9.7969 Å; angles 103.07, 102.78, 90.00 degrees
Last column: nearest neighbours and their distance in Å.
Atoms (fractional coordinates):
1 Nd 0.9813 0.7384 0.9626  1 Si 2.81, 2 Br 3.10, 2 Te 3.13
2 Nd 0.3257 0.4339 0.6513  3 Si 2.90-2.92
3 Nd 0.3293 0.8721 0.6586  2 Si 2.87, 1 Br 3.10, 1 Te 3.19
4 Nd 0.0187 0.2616 0.0374  1 Si 2.81, 2 Br 3.10, 2 Te 3.13
5 Nd 0.6707 0.1279 0.3414  2 Si 2.87, 1 Br 3.10, 1 Te 3.19
6 Nd 0.6743 0.5661 0.3487  3 Si 2.90-2.92
7 Si 0.1700 0.3414 0.3400  6 Nd 2.81-2.92
8 Si 0.8300 0.6586 0.6600  6 Nd 2.81-2.92
9 Br 0.8361 0.1623 0.6723  6 Nd 3.10-3.39
10 Br 0.5000 0.5000 0.0000  6 Nd 3.10-3.25
11 Br 0.1639 0.8377 0.3277  6 Nd 3.10-3.39
12 Te 0.5000 0.0000 0.0000  6 Nd 3.13-3.19

Computed properties:
The calculation puts the uncorrected formation energy at -1.16 eV per atom. The calculation puts the density of states at the Fermi level at 0.466 states/eV/atom. The calculation puts the total energy at -5.12 eV/atom.

---

3.
VASP calculation (PBE) on crystalline RuSe2O6 at its relaxed geometry.

Cell lengths 4.9046, 4.9046, 7.1686 Å; angles 70.00, 70.00, 60.00 degrees
Last column: nearest neighbours and their distance in Å.
Atoms (fractional coordinates):
1 O 0.2849 0.9374 0.1836  1 Se 1.75
2 O 0.4067 0.7171 0.8158  1 Se 1.75
3 O 0.0603 0.4067 0.8158  1 Se 1.75
4 O 0.9374 0.5941 0.1836  1 Se 1.75
5 O 0.5941 0.2849 0.1836  1 Se 1.75
6 O 0.7171 0.0603 0.8158  1 Se 1.75
7 Se 0.2378 0.2378 0.2866  3 O 1.75
8 Se 0.4291 0.4291 0.7128  3 O 1.75
9 Ru 0.6669 0.6669 0.9994  6 O 2.01

Computed properties:
The calculation puts the uncorrected formation energy at -0.67 eV per atom. The calculation puts the density of states at the Fermi level at 0.268 states/eV/atom. The calculation puts the total energy at -5.78 eV/atom.

---

4.
VASP calculation (PBE) on crystalline CaTc2I at its relaxed geometry.

Cell lengths 7.8951, 7.8951, 6.2911 Å; angles 51.14, 51.14, 90.00 degrees
Last column: nearest neighbours and their distance in Å.
Atoms (fractional coordinates):
1 Tc 0.3750 0.3052 0.7500  2 I 2.54
2 Tc 0.0552 0.6250 0.2500  2 I 2.54
3 Tc 0.8750 0.9448 0.7500  2 I 2.54
4 Tc 0.6948 0.1250 0.2500  2 I 2.54
5 I 0.0000 0.0000 0.0000  4 Tc 2.54
6 I 0.7500 0.2500 0.5000  4 Tc 2.54
7 Ca 0.5000 0.5000 0.0000  2 I 2.90
8 Ca 0.2500 0.7500 0.5000  2 I 2.90

Computed properties:
The calculation puts the uncorrected formation energy at 1.12 eV per atom. The calculation puts the density of states at the Fermi level at 1.792 states/eV/atom. The energy above the most stable polymorph in this dataset comes out at 203.4 meV per atom. The calculation puts the total energy at -4.95 eV/atom.

---

5.
VASP calculation (PBE) on crystalline Ac2GaTc at its relaxed geometry.

Cell lengths 3.6513, 3.6513, 10.6356 Å; angles 80.12, 80.12, 60.00 degrees
Last column: nearest neighbours and their distance in Å.
Atoms (fractional coordinates):
1 Ac 0.0848 0.0848 0.7457  1 Tc 2.65
2 Ac 0.9152 0.9152 0.2543  1 Tc 2.65
3 Tc 0.0000 0.0000 0.0000  2 Ac 2.65
4 Ga 0.5000 0.5000 0.5000  6 Ac 3.32, 6 Ga 3.65

Computed properties:
The value obtained for the energy relative to the elements is 770 meV/atom. The calculation puts the density of states at the Fermi level at 1.658 states/eV/atom. The calculation puts the total energy at -4.63 eV/atom.

---

6.
VASP calculation (PBE) on crystalline AlSbTe2 at its relaxed geometry.

Cell lengths 9.5016, 9.5016, 9.5016 Å; angles 23.92, 23.92, 23.92 degrees
Last column: nearest neighbours and their distance in Å.
Atoms (fractional coordinates):
1 Al 0.5000 0.5000 0.5000  6 Te 2.77
2 Te 0.8908 0.8908 0.8908  3 Al 2.77, 1 Sb 3.02
3 Te 0.1092 0.1092 0.1092  3 Al 2.77, 1 Sb 3.02
4 Sb 0.0000 0.0000 0.0000  2 Te 3.02

Computed properties:
The calculation puts the uncorrected formation energy at -0.09 eV per atom. The calculation puts the density of states at the Fermi level at 0.377 states/eV/atom. The energy above the most stable polymorph in this dataset comes out at 0.0 meV per atom. The calculation puts the total energy at -3.62 eV/atom.

---

7.
VASP calculation (PBE) on crystalline RbZrMn2 at its relaxed geometry.

Cell lengths 5.0898, 5.0898, 5.0898 Å; angles 60.00, 60.00, 60.00 degrees
Last column: nearest neighbours and their distance in Å.
Atoms (fractional coordinates):
1 Mn 0.7500 0.7500 0.7500  4 Zr 3.12, 4 Rb 3.12
2 Mn 0.2500 0.2500 0.2500  4 Zr 3.12, 4 Rb 3.12
3 Zr 0.5000 0.5000 0.5000  8 Mn 3.12
4 Rb 0.0000 0.0000 0.0000  8 Mn 3.12

Computed properties:
The value obtained for the energy relative to the elements is 1175 meV/atom. The calculation puts the density of states at the Fermi level at 0.817 states/eV/atom. The energy above the most stable polymorph in this dataset comes out at 0.0 meV per atom. The calculation puts the total energy at -5.79 eV/atom.

---

8.
VASP calculation (PBE) on crystalline CaCuRu2 at its relaxed geometry.

Cell lengths 4.1952, 2.8572, 5.7146 Å; angles 75.63, 90.00, 90.00 degrees
Last column: nearest neighbours and their distance in Å.
Atoms (fractional coordinates):
1 Ca 0.0000 0.5456 0.5321  2 Ru 2.77-3.11, 4 Cu 2.84, 2 Ca 2.86
2 Ru 0.5000 0.2260 0.1748  6 Ru 2.66-2.86, 2 Cu 2.69-2.70
3 Ru 0.0000 0.7967 0.0308  2 Cu 2.57, 6 Ru 2.66-2.86, 1 Ca 2.77
4 Cu 0.5000 0.9317 0.7622  4 Ru 2.57-2.70, 4 Ca 2.84, 2 Cu 2.86

Computed properties:
The value obtained for the energy relative to the elements is 276 meV/atom. The calculation puts the density of states at the Fermi level at 1.052 states/eV/atom. The energy above the most stable polymorph in this dataset comes out at 43.0 meV per atom. The calculation puts the total energy at -5.89 eV/atom.

---

9.
VASP calculation (PBE) on crystalline Pm4IrS2Br at its relaxed geometry.

Cell lengths 4.0156, 7.2281, 7.3041 Å; angles 71.71, 90.00, 90.00 degrees
Last column: nearest neighbours and their distance in Å.
Atoms (fractional coordinates):
1 Br 0.5000 0.5000 0.0000  6 Pm 3.04-3.08
2 Pm 0.5000 0.2553 0.7283  2 Ir 2.84, 3 S 2.85-3.01, 1 Br 3.04
3 Pm 0.0000 0.2279 0.2768  3 S 2.78-2.98, 1 Ir 2.92, 2 Br 3.08
4 Pm 0.0000 0.7721 0.7232  3 S 2.78-2.98, 1 Ir 2.92, 2 Br 3.08
5 Pm 0.5000 0.7447 0.2717  2 Ir 2.84, 3 S 2.85-3.01, 1 Br 3.04
6 S 0.5000 0.0000 0.5000  6 Pm 2.78-2.85
7 S 0.0000 0.0000 0.0000  6 Pm 2.98-3.01
8 Ir 0.0000 0.5000 0.5000  6 Pm 2.84-2.92

Computed properties:
The calculation puts the uncorrected formation energy at -1.46 eV per atom. The calculation puts the density of states at the Fermi level at 0.651 states/eV/atom. The calculation puts the total energy at -6.18 eV/atom.

---

10.
VASP calculation (PBE) on crystalline SrLi3Rh2 at its relaxed geometry.

Cell lengths 5.1423, 6.6466, 6.6466 Å; angles 95.99, 90.00, 90.00 degrees
Last column: nearest neighbours and their distance in Å.
Atoms (fractional coordinates):
1 Li 0.7500 0.4532 0.0608  4 Rh 2.61-2.65, 3 Li 2.78-2.82
2 Li 0.7500 0.0608 0.4532  4 Rh 2.61-2.65, 3 Li 2.78-2.82
3 Li 0.2500 0.5468 0.9392  4 Rh 2.61-2.65, 3 Li 2.78-2.82
4 Li 0.2500 0.9739 0.9739  4 Li 2.61-2.82, 4 Rh 2.66
5 Li 0.7500 0.0261 0.0261  4 Li 2.61-2.82, 4 Rh 2.66
6 Li 0.2500 0.9392 0.5468  4 Rh 2.61-2.65, 3 Li 2.78-2.82
7 Rh 0.0000 0.2341 0.7659  2 Rh 2.57, 6 Li 2.61-2.66
8 Rh 0.0000 0.7659 0.2341  2 Rh 2.57, 6 Li 2.61-2.66
9 Rh 0.5000 0.7659 0.2341  2 Rh 2.57, 6 Li 2.61-2.66
10 Rh 0.5000 0.2341 0.7659  2 Rh 2.57, 6 Li 2.61-2.66
11 Sr 0.2500 0.3389 0.3389  7 Li 3.12-3.30, 4 Rh 3.26
12 Sr 0.7500 0.6611 0.6611  7 Li 3.12-3.30, 4 Rh 3.26

Computed properties:
The value obtained for the energy relative to the elements is -155 meV/atom. The calculation puts the density of states at the Fermi level at 0.512 states/eV/atom. The calculation puts the total energy at -3.84 eV/atom.

---

11.
VASP calculation (PBE) on crystalline Pa2VFe3N6 at its relaxed geometry.

Cell lengths 5.9774, 5.9774, 4.6944 Å; angles 99.23, 99.23, 124.15 degrees
Last column: nearest neighbours and their distance in Å.
Atoms (fractional coordinates):
1 N 0.6260 0.9044 0.7224  2 Fe 1.95-2.10, 1 V 2.10
2 N 0.2574 0.2574 0.7647  3 Fe 1.98-2.13, 1 V 2.09
3 N 0.7426 0.7426 0.2353  3 Fe 1.98-2.13, 1 V 2.09
4 N 0.9044 0.6260 0.7224  2 Fe 1.95-2.10, 1 V 2.10
5 N 0.0956 0.3740 0.2776  2 Fe 1.95-2.10, 1 V 2.10
6 N 0.3740 0.0956 0.2776  2 Fe 1.95-2.10, 1 V 2.10
7 Pa 0.6724 0.3276 0.0000  6 N 2.31-2.49
8 Pa 0.3276 0.6724 0.0000  6 N 2.31-2.49
9 Fe 0.5000 0.5000 0.5000  6 N 2.10-2.13
10 Fe 0.8828 0.1172 0.5000  4 N 1.95-1.98
11 Fe 0.1172 0.8828 0.5000  4 N 1.95-1.98
12 V 0.0000 0.0000 0.0000  6 N 2.09-2.10

Computed properties:
The calculation puts the uncorrected formation energy at -0.67 eV per atom. The calculation puts the density of states at the Fermi level at 0.668 states/eV/atom. The calculation puts the total energy at -9.29 eV/atom.